# 1
CaPmTmAl after structural relaxation, computed with PBE.

Results
Fermi-level density of states, states/eV/cell: 2.91
Formation enthalpy at 0 K, meV/atom: -48

Unit cell a=5.411 b=5.411 c=5.411 alpha=60.00 beta=60.00 gamma=60.00
Sites, in units of the cell vectors:
1 Pm 0.000 0.000 0.000
2 Tm 0.500 0.500 0.500
3 Ca 0.250 0.250 0.250
4 Al 0.750 0.750 0.750



# 2
CaPmYAl after structural relaxation, computed with PBE.

Results
Fermi-level density of states, states/eV/cell: 2.98
Formation enthalpy at 0 K, meV/atom: -78

Unit cell a=5.446 b=5.446 c=5.446 alpha=60.00 beta=60.00 gamma=60.00
Sites, in units of the cell vectors:
1 Y 0.750 0.750 0.750
2 Pm 0.250 0.250 0.250
3 Al 0.500 0.500 0.500
4 Ca 0.000 0.000 0.000



# 3
CaPr2Al6 after structural relaxation, computed with PBE.

Results
Fermi-level density of states, states/eV/cell: 5.24
Formation enthalpy at 0 K, meV/atom: -388

Unit cell a=3.751 b=8.008 c=8.008 alpha=120.00 beta=90.00 gamma=90.00
Sites, in units of the cell vectors:
1 Al 0.500 0.000 0.333
2 Al 0.500 0.000 0.667
3 Al 0.500 0.333 0.333
4 Al 0.500 0.667 0.667
5 Al 0.500 0.667 0.000
6 Al 0.500 0.333 0.000
7 Pr 0.000 0.667 0.333
8 Pr 0.000 0.333 0.667
9 Ca 0.000 0.000 0.000



# 4
Ca3PrAl8 after structural relaxation, computed with PBE.

Results
Fermi-level density of states, states/eV/cell: 4.90
Formation enthalpy at 0 K, meV/atom: -372
Polymorph energy (0 for the lowest one), meV per atom: 0.0

Unit cell a=5.662 b=5.662 c=9.874 alpha=73.34 beta=73.34 gamma=60.00
Sites, in units of the cell vectors:
1 Pr 0.875 0.875 0.376
2 Al 0.439 0.937 0.688
3 Al 0.937 0.438 0.187
4 Al 0.438 0.438 0.187
5 Al 0.937 0.937 0.688
6 Al 0.188 0.188 0.437
7 Al 0.688 0.688 0.937
8 Al 0.937 0.439 0.688
9 Al 0.438 0.937 0.187
10 Ca 0.000 0.000 0.999
11 Ca 0.375 0.375 0.875
12 Ca 0.500 0.500 0.500



# 5
CaPr3Al2 after structural relaxation, computed with PBE.

Results
Fermi-level density of states, states/eV/cell: 11.20
Formation enthalpy at 0 K, meV/atom: -240

Unit cell a=5.383 b=6.844 c=9.632 alpha=90.00 beta=90.00 gamma=90.00
Sites, in units of the cell vectors:
1 Al 0.000 0.272 0.660
2 Al 0.000 0.772 0.340
3 Al 0.500 0.727 0.842
4 Al 0.500 0.227 0.158
5 Pr 0.000 0.494 0.971
6 Pr 0.500 0.715 0.173
7 Pr 0.500 0.215 0.827
8 Pr 0.000 0.783 0.666
9 Pr 0.000 0.283 0.334
10 Pr 0.000 0.994 0.029
11 Ca 0.500 0.510 0.528
12 Ca 0.500 0.010 0.472



# 6
CaPr2Al after structural relaxation, computed with PBE.

Results
Fermi-level density of states, states/eV/cell: 4.48
Formation enthalpy at 0 K, meV/atom: -101
Polymorph energy (0 for the lowest one), meV per atom: 24.3

Unit cell a=4.815 b=5.040 c=5.040 alpha=90.00 beta=90.00 gamma=90.00
Sites, in units of the cell vectors:
1 Al 0.500 0.500 0.500
2 Pr 0.000 0.500 0.000
3 Pr 0.000 0.000 0.500
4 Ca 0.500 0.000 0.000



# 7
CaPrAl2 after structural relaxation, computed with PBE.

Results
Fermi-level density of states, states/eV/cell: 3.85
Formation enthalpy at 0 K, meV/atom: 8
Polymorph energy (0 for the lowest one), meV per atom: 271.4

Unit cell a=3.648 b=3.648 c=10.015 alpha=79.51 beta=79.51 gamma=60.00
Sites, in units of the cell vectors:
1 Al 0.749 0.749 0.752
2 Al 0.251 0.251 0.248
3 Ca 0.000 0.000 0.000
4 Pr 0.500 0.500 0.500



# 8
CaPrAl2 after structural relaxation, computed with PBE.

Results
Fermi-level density of states, states/eV/cell: 2.99
Formation enthalpy at 0 K, meV/atom: -261
Polymorph energy (0 for the lowest one), meV per atom: 2.8

Unit cell a=5.277 b=5.277 c=5.277 alpha=60.00 beta=60.00 gamma=60.00
Sites, in units of the cell vectors:
1 Al 0.750 0.750 0.750
2 Al 0.250 0.250 0.250
3 Ca 0.500 0.500 0.500
4 Pr 0.000 0.000 0.000



# 9
Ca2PrAl6 after structural relaxation, computed with PBE.

Results
Fermi-level density of states, states/eV/cell: 4.68
Formation enthalpy at 0 K, meV/atom: -318

Unit cell a=3.640 b=8.062 c=8.062 alpha=120.00 beta=90.00 gamma=90.00
Sites, in units of the cell vectors:
1 Al 0.500 0.334 0.000
2 Al 0.500 0.666 0.666
3 Al 0.500 0.000 0.334
4 Al 0.500 0.000 0.666
5 Al 0.500 0.334 0.334
6 Al 0.500 0.666 0.000
7 Ca 0.000 0.333 0.667
8 Ca 0.000 0.667 0.333
9 Pr 0.000 0.000 0.000



# 10
CaPr3Al8 after structural relaxation, computed with PBE.

Results
Fermi-level density of states, states/eV/cell: 7.53
Formation enthalpy at 0 K, meV/atom: -448

Unit cell a=5.694 b=5.694 c=9.898 alpha=73.28 beta=73.28 gamma=60.00
Sites, in units of the cell vectors:
1 Al 0.437 0.437 0.186
2 Al 0.687 0.687 0.939
3 Al 0.437 0.938 0.688
4 Al 0.938 0.437 0.688
5 Al 0.938 0.938 0.688
6 Al 0.437 0.939 0.186
7 Al 0.939 0.437 0.186
8 Al 0.188 0.188 0.437
9 Ca 0.875 0.875 0.374
10 Pr 0.998 0.998 0.005
11 Pr 0.501 0.501 0.496
12 Pr 0.375 0.375 0.876



# 11
Ca3PrAl8 after structural relaxation, computed with PBE.

Results
Fermi-level density of states, states/eV/cell: 6.74
Formation enthalpy at 0 K, meV/atom: -358
Polymorph energy (0 for the lowest one), meV per atom: 14.4

Unit cell a=5.694 b=5.694 c=9.231 alpha=90.00 beta=90.00 gamma=120.00
Sites, in units of the cell vectors:
1 Al 0.992 0.496 0.750
2 Al 0.163 0.837 0.250
3 Al 0.333 0.667 0.501
4 Al 0.333 0.667 0.003
5 Al 0.675 0.837 0.250
6 Al 0.504 0.008 0.750
7 Al 0.163 0.325 0.250
8 Al 0.504 0.496 0.750
9 Ca 0.000 0.000 0.934
10 Ca 0.667 0.333 0.066
11 Ca 0.667 0.333 0.432
12 Pr 0.000 0.000 0.567



# 12
CaPrAl4 after structural relaxation, computed with PBE.

Results
Fermi-level density of states, states/eV/cell: 4.17
Formation enthalpy at 0 K, meV/atom: -398

Unit cell a=5.688 b=5.688 c=5.688 alpha=60.00 beta=60.00 gamma=60.00
Sites, in units of the cell vectors:
1 Pr 0.000 0.000 0.000
2 Ca 0.250 0.250 0.250
3 Al 0.625 0.625 0.625
4 Al 0.625 0.124 0.625
5 Al 0.625 0.625 0.124
6 Al 0.124 0.625 0.625



# 13
CaPr2Al2 after structural relaxation, computed with PBE.

Results
Fermi-level density of states, states/eV/cell: 4.12
Formation enthalpy at 0 K, meV/atom: -266

Unit cell a=3.893 b=4.545 c=8.780 alpha=105.00 beta=90.00 gamma=90.00
Sites, in units of the cell vectors:
1 Pr 0.500 0.360 0.720
2 Pr 0.500 0.640 0.280
3 Al 0.000 0.794 0.589
4 Al 0.000 0.206 0.411
5 Ca 0.000 0.000 0.000



# 14
CaPr2Al after structural relaxation, computed with PBE.

Results
Fermi-level density of states, states/eV/cell: 2.80
Formation enthalpy at 0 K, meV/atom: -90
Polymorph energy (0 for the lowest one), meV per atom: 35.5

Unit cell a=5.555 b=5.555 c=5.555 alpha=60.00 beta=60.00 gamma=60.00
Sites, in units of the cell vectors:
1 Ca 0.500 0.500 0.500
2 Pr 0.250 0.250 0.250
3 Pr 0.750 0.750 0.750
4 Al 0.000 0.000 0.000



# 15
CaPrAl2 after structural relaxation, computed with PBE.

Results
Fermi-level density of states, states/eV/cell: 1.56
Formation enthalpy at 0 K, meV/atom: -257
Polymorph energy (0 for the lowest one), meV per atom: 6.3

Unit cell a=4.360 b=4.877 c=4.877 alpha=90.00 beta=90.00 gamma=90.00
Sites, in units of the cell vectors:
1 Al 0.000 0.500 0.000
2 Al 0.000 0.000 0.500
3 Pr 0.500 0.500 0.500
4 Ca 0.500 0.000 0.000



# 16
CaPr2Al9 after structural relaxation, computed with PBE.

Results
Fermi-level density of states, states/eV/cell: 5.15
Formation enthalpy at 0 K, meV/atom: -320

Unit cell a=5.735 b=5.735 c=9.421 alpha=72.28 beta=72.28 gamma=60.00
Sites, in units of the cell vectors:
1 Pr 0.858 0.858 0.425
2 Pr 0.142 0.142 0.575
3 Al 0.413 0.413 0.248
4 Al 0.413 0.925 0.248
5 Al 0.075 0.587 0.752
6 Al 0.925 0.413 0.248
7 Al 0.335 0.335 0.994
8 Al 0.500 0.500 0.500
9 Al 0.665 0.665 0.006
10 Al 0.587 0.075 0.752
11 Al 0.587 0.587 0.752
12 Ca 0.000 0.000 0.000



# 17
CaPr2Al after structural relaxation, computed with PBE.

Results
Fermi-level density of states, states/eV/cell: 4.35
Formation enthalpy at 0 K, meV/atom: -125
Polymorph energy (0 for the lowest one), meV per atom: 0.0

Unit cell a=3.719 b=3.719 c=9.529 alpha=90.00 beta=90.00 gamma=90.00
Sites, in units of the cell vectors:
1 Ca 0.500 0.500 0.500
2 Pr 0.000 0.000 0.197
3 Pr 0.000 0.000 0.803
4 Al 0.500 0.500 0.000



# 18
CaPrAl2 after structural relaxation, computed with PBE.

Results
Fermi-level density of states, states/eV/cell: 1.83
Formation enthalpy at 0 K, meV/atom: -264
Polymorph energy (0 for the lowest one), meV per atom: 0.0

Unit cell a=3.697 b=3.697 c=7.611 alpha=90.00 beta=90.00 gamma=90.00
Sites, in units of the cell vectors:
1 Pr 0.500 0.500 0.500
2 Al 0.000 0.000 0.758
3 Al 0.000 0.000 0.242
4 Ca 0.500 0.500 0.000



# 19
CaPr2Al3Pt4 after structural relaxation, computed with PBE.

Results
Fermi-level density of states, states/eV/cell: 8.06
Formation enthalpy at 0 K, meV/atom: -977

Unit cell a=4.365 b=4.365 c=10.970 alpha=90.00 beta=90.00 gamma=90.00
Sites, in units of the cell vectors:
1 Al 0.500 0.000 0.884
2 Al 0.000 0.500 0.116
3 Al 0.000 0.000 0.500
4 Pt 0.000 0.500 0.344
5 Pt 0.500 0.500 0.000
6 Pt 0.500 0.000 0.656
7 Pt 0.000 0.000 0.000
8 Pr 0.000 0.500 0.769
9 Pr 0.500 0.000 0.231
10 Ca 0.500 0.500 0.500



# 20
CaPrAl2Si2 after structural relaxation, computed with PBE.

Results
Uncorrected energy, eV per atom: -4.6695
Fermi-level density of states, states/eV/cell: 3.69

Unit cell a=4.204 b=4.204 c=8.729 alpha=90.00 beta=90.00 gamma=120.00
Sites, in units of the cell vectors:
1 Pr 0.000 0.000 0.000
2 Si 0.667 0.333 0.741
3 Si 0.333 0.667 0.259
4 Al 0.333 0.667 0.753
5 Al 0.667 0.333 0.247
6 Ca 0.000 0.000 0.500